No. 1
First-principles (PBE) data for Sm2Dy4Al after structural relaxation, as listed in Alexandria via LeMat-Bulk.

Calculated values
E_tot: -31.79 eV per formula unit
Fermi-level density of states: 1.597 states/eV per atom
Total magnetization: 0.21 μB per formula unit

Cell lengths 19.196, 19.196, 19.196 Å; angles 10.79, 10.79, 10.79 degrees
Fractional positions:
Sm 0.193 0.193 0.193
Sm 0.807 0.807 0.807
Dy 0.090 0.090 0.090
Dy 0.294 0.294 0.294
Dy 0.706 0.706 0.706
Dy 0.910 0.910 0.910
Al 0.000 0.000 0.000

---

No. 2
First-principles (PBE) data for Hf5Rh2 after structural relaxation, as listed in Alexandria via LeMat-Bulk.

Calculated values
E_tot: -67.46 eV per formula unit
Fermi-level density of states: 0.768 states/eV per atom
Total magnetization: 0.00 μB per formula unit

Cell lengths 8.030, 8.030, 6.071 Å; angles 93.90, 93.90, 46.92 degrees
Fractional positions:
Hf 0.025 0.975 0.750
Hf 0.164 0.291 0.257
Hf 0.278 0.540 0.024
Hf 0.291 0.164 0.757
Hf 0.460 0.722 0.476
Hf 0.540 0.278 0.524
Hf 0.709 0.836 0.243
Hf 0.722 0.460 0.976
Hf 0.836 0.709 0.743
Hf 0.975 0.025 0.250
Rh 0.119 0.653 0.466
Rh 0.347 0.881 0.034
Rh 0.653 0.119 0.966
Rh 0.881 0.347 0.534

---

No. 3
First-principles (PBE) data for Cs2Ti3TlO8 after structural relaxation, as listed in Alexandria via LeMat-Bulk.

Calculated values
E_tot: -99.54 eV per formula unit
Fermi-level density of states: 0.156 states/eV per atom
Total magnetization: 1.03 μB per formula unit

Cell lengths 8.107, 8.107, 8.107 Å; angles 44.86, 44.86, 44.86 degrees
Fractional positions:
Cs 0.000 0.000 0.000
Cs 0.369 0.369 0.369
Ti 0.364 0.364 0.876
Ti 0.364 0.876 0.364
Ti 0.876 0.364 0.364
Tl 0.776 0.776 0.776
O 0.096 0.096 0.539
O 0.096 0.539 0.096
O 0.149 0.149 0.149
O 0.190 0.630 0.630
O 0.539 0.096 0.096
O 0.578 0.578 0.578
O 0.630 0.190 0.630
O 0.630 0.630 0.190

---

No. 4
First-principles (PBE) data for TbSmHo2Th after structural relaxation, as listed in Alexandria via LeMat-Bulk.

Calculated values
E_tot: -24.31 eV per formula unit
Fermi-level density of states: 1.333 states/eV per atom
Total magnetization: 0.00 μB per formula unit

Cell lengths 8.516, 6.438, 6.299 Å; angles 90.00, 98.70, 90.00 degrees
Fractional positions:
Tb 0.000 0.000 0.000
Tb 0.000 0.000 0.500
Sm 0.500 0.176 0.250
Sm 0.500 0.824 0.750
Ho 0.312 0.312 0.703
Ho 0.312 0.688 0.203
Ho 0.688 0.312 0.797
Ho 0.688 0.688 0.297
Th 0.000 0.446 0.250
Th 0.000 0.554 0.750

---

No. 5
First-principles (PBE) data for CoHgMo2 after structural relaxation, as listed in Alexandria via LeMat-Bulk.

Calculated values
E_tot: -27.33 eV per formula unit
Fermi-level density of states: 0.680 states/eV per atom
Total magnetization: 1.62 μB per formula unit

Cell lengths 3.810, 3.810, 4.282 Å; angles 90.00, 90.00, 90.00 degrees
Fractional positions:
Co 0.000 0.000 0.000
Hg 0.500 0.500 0.000
Mo 0.000 0.500 0.500
Mo 0.500 0.000 0.500

---

No. 6
First-principles (PBE) data for Sc2MnMo after structural relaxation, as listed in Alexandria via LeMat-Bulk.

Calculated values
E_tot: -32.55 eV per formula unit
Fermi-level density of states: 0.632 states/eV per atom
Total magnetization: 0.00 μB per formula unit
Excess energy over the best structure of this formula in the dataset: 9 meV/atom

Cell lengths 5.497, 5.497, 5.497 Å; angles 146.18, 129.23, 62.40 degrees
Fractional positions:
Sc 0.000 0.000 0.000
Sc 0.719 0.219 0.500
Mn 0.251 0.751 0.500
Mo 0.435 0.435 0.000

---

No. 7
First-principles (PBE) data for KCuP2 after structural relaxation, as listed in Alexandria via LeMat-Bulk.

Calculated values
E_tot: -16.55 eV per formula unit
Fermi-level density of states: 0.296 states/eV per atom
Total magnetization: 0.00 μB per formula unit
Excess energy over the best structure of this formula in the dataset: 0 meV/atom

Cell lengths 3.965, 4.049, 6.097 Å; angles 90.00, 90.00, 90.00 degrees
Fractional positions:
K 0.000 0.000 0.000
Cu 0.000 0.500 0.500
P 0.500 0.500 0.320
P 0.500 0.500 0.680

---

No. 8
First-principles (PBE) data for Ba3Ag4Au2 after structural relaxation, as listed in Alexandria via LeMat-Bulk.

Calculated values
E_tot: -27.78 eV per formula unit
Fermi-level density of states: 0.290 states/eV per atom
Total magnetization: 0.00 μB per formula unit

Cell lengths 6.552, 6.552, 9.561 Å; angles 106.33, 106.33, 43.81 degrees
Fractional positions:
Ba 0.000 0.000 0.000
Ba 0.330 0.330 0.337
Ba 0.670 0.670 0.663
Ag 0.050 0.050 0.385
Ag 0.276 0.276 0.943
Ag 0.724 0.724 0.057
Ag 0.950 0.950 0.615
Au 0.391 0.391 0.724
Au 0.609 0.609 0.276

---

No. 9
First-principles (PBE) data for LuGePt2 after structural relaxation, as listed in Alexandria via LeMat-Bulk.

Calculated values
E_tot: -24.56 eV per formula unit
Fermi-level density of states: 0.421 states/eV per atom
Total magnetization: 0.00 μB per formula unit

Cell lengths 3.534, 3.534, 5.810 Å; angles 90.00, 90.00, 90.00 degrees
Fractional positions:
Lu 0.000 0.000 0.000
Ge 0.000 0.000 0.500
Pt 0.500 0.500 0.259
Pt 0.500 0.500 0.741

---

No. 10
First-principles (PBE) data for CaTcHg2 after structural relaxation, as listed in Alexandria via LeMat-Bulk.

Calculated values
E_tot: -11.16 eV per formula unit
Fermi-level density of states: 0.735 states/eV per atom
Total magnetization: 1.49 μB per formula unit
Excess energy over the best structure of this formula in the dataset: 221 meV/atom

Cell lengths 9.691, 9.691, 9.691 Å; angles 19.53, 19.53, 19.53 degrees
Fractional positions:
Ca 0.000 0.000 0.000
Tc 0.500 0.500 0.500
Hg 0.244 0.244 0.244
Hg 0.756 0.756 0.756

---

No. 11
First-principles (PBE) data for Ti6Si2Pb after structural relaxation, as listed in Alexandria via LeMat-Bulk.

Calculated values
E_tot: -65.32 eV per formula unit
Fermi-level density of states: 1.236 states/eV per atom
Total magnetization: 0.00 μB per formula unit

Cell lengths 7.427, 7.427, 7.427 Å; angles 115.24, 112.80, 100.73 degrees
Fractional positions:
Ti 0.030 0.250 0.780
Ti 0.178 0.474 0.295
Ti 0.178 0.883 0.705
Ti 0.296 0.204 0.500
Ti 0.296 0.796 0.092
Ti 0.469 0.250 0.220
Ti 0.531 0.750 0.780
Ti 0.704 0.204 0.908
Ti 0.704 0.796 0.500
Ti 0.822 0.117 0.295
Ti 0.822 0.526 0.705
Ti 0.970 0.750 0.220
Si 0.147 0.500 0.647
Si 0.376 0.876 0.500
Si 0.624 0.124 0.500
Si 0.853 0.500 0.353
Pb 0.000 0.000 0.000
Pb 0.500 0.500 0.000

---

No. 12
First-principles (PBE) data for BaMnHg2 after structural relaxation, as listed in Alexandria via LeMat-Bulk.

Calculated values
E_tot: -11.32 eV per formula unit
Fermi-level density of states: 0.800 states/eV per atom
Total magnetization: 4.12 μB per formula unit

Cell lengths 3.923, 3.923, 7.519 Å; angles 90.00, 90.00, 90.00 degrees
Fractional positions:
Ba 0.000 0.000 0.000
Mn 0.500 0.500 0.657
Hg 0.000 0.000 0.539
Hg 0.500 0.500 0.284

---

No. 13
First-principles (PBE) data for CePrAu after structural relaxation, as listed in Alexandria via LeMat-Bulk.

Calculated values
E_tot: -14.70 eV per formula unit
Fermi-level density of states: 3.583 states/eV per atom
Total magnetization: 1.79 μB per formula unit
Excess energy over the best structure of this formula in the dataset: 221 meV/atom

Cell lengths 5.128, 5.128, 5.128 Å; angles 60.00, 60.00, 60.00 degrees
Fractional positions:
Ce 0.000 0.000 0.000
Pr 0.500 0.500 0.500
Au 0.750 0.750 0.750

---

No. 14
First-principles (PBE) data for CaMo2Br after structural relaxation, as listed in Alexandria via LeMat-Bulk.

Calculated values
E_tot: -24.95 eV per formula unit
Fermi-level density of states: 0.240 states/eV per atom
Total magnetization: 0.00 μB per formula unit
Excess energy over the best structure of this formula in the dataset: 84 meV/atom

Cell lengths 3.421, 3.421, 9.410 Å; angles 105.71, 105.71, 59.39 degrees
Fractional positions:
Ca 0.000 0.000 0.000
Mo 0.480 0.480 0.297
Mo 0.896 0.896 0.469
Br 0.552 0.552 0.760

---

No. 15
First-principles (PBE) data for Ti2GaCuPd after structural relaxation, as listed in Alexandria via LeMat-Bulk.

Calculated values
E_tot: -24.73 eV per formula unit
Fermi-level density of states: 1.100 states/eV per atom
Total magnetization: 0.00 μB per formula unit
Excess energy over the best structure of this formula in the dataset: 96 meV/atom

Cell lengths 4.708, 4.708, 4.547 Å; angles 90.00, 90.00, 90.00 degrees
Fractional positions:
Ti 0.000 0.500 0.000
Ti 0.500 0.000 0.000
Ga 0.000 0.000 0.000
Cu 0.500 0.500 0.500
Pd 0.000 0.000 0.500

---

No. 16
First-principles (PBE) data for NaSr2SnAu6 after structural relaxation, as listed in Alexandria via LeMat-Bulk.

Calculated values
E_tot: -29.68 eV per formula unit
Fermi-level density of states: 0.335 states/eV per atom
Total magnetization: 0.00 μB per formula unit

Cell lengths 7.389, 7.389, 7.389 Å; angles 60.00, 60.00, 60.00 degrees
Fractional positions:
Na 0.000 0.000 0.000
Sr 0.250 0.250 0.250
Sr 0.750 0.750 0.750
Sn 0.500 0.500 0.500
Au 0.247 0.247 0.753
Au 0.247 0.753 0.247
Au 0.247 0.753 0.753
Au 0.753 0.247 0.247
Au 0.753 0.247 0.753
Au 0.753 0.753 0.247

---

No. 17
First-principles (PBE) data for BiPIrSN after structural relaxation, as listed in Alexandria via LeMat-Bulk.

Calculated values
E_tot: -30.12 eV per formula unit
Fermi-level density of states: 0.208 states/eV per atom
Total magnetization: 0.00 μB per formula unit
Excess energy over the best structure of this formula in the dataset: 251 meV/atom

Cell lengths 4.072, 4.072, 9.404 Å; angles 111.90, 111.90, 41.55 degrees
Fractional positions:
Bi 0.000 0.000 0.000
P 0.716 0.716 0.699
Ir 0.816 0.816 0.501
S 0.073 0.073 0.354
N 0.084 0.084 0.690

---

No. 18
First-principles (PBE) data for Y2HfBeCl after structural relaxation, as listed in Alexandria via LeMat-Bulk.

Calculated values
E_tot: -27.30 eV per formula unit
Fermi-level density of states: 1.413 states/eV per atom
Total magnetization: 0.00 μB per formula unit

Cell lengths 5.286, 5.286, 4.714 Å; angles 90.00, 90.00, 90.00 degrees
Fractional positions:
Y 0.000 0.500 0.000
Y 0.500 0.000 0.000
Hf 0.000 0.000 0.500
Be 0.000 0.000 0.000
Cl 0.500 0.500 0.500

---

No. 19
First-principles (PBE) data for Nb2MoHBr after structural relaxation, as listed in Alexandria via LeMat-Bulk.

Calculated values
E_tot: -25.69 eV per formula unit
Fermi-level density of states: 1.653 states/eV per atom
Total magnetization: 0.00 μB per formula unit

Cell lengths 4.780, 4.780, 4.584 Å; angles 90.00, 90.00, 90.00 degrees
Fractional positions:
Nb 0.000 0.500 0.000
Nb 0.500 0.000 0.000
Mo 0.000 0.000 0.500
H 0.500 0.500 0.500
Br 0.000 0.000 0.000

---

No. 20
First-principles (PBE) data for Ag2RhAu after structural relaxation, as listed in Alexandria via LeMat-Bulk.

Calculated values
E_tot: -15.60 eV per formula unit
Fermi-level density of states: 0.645 states/eV per atom
Total magnetization: 0.00 μB per formula unit

Cell lengths 4.583, 4.583, 4.583 Å; angles 60.00, 60.00, 60.00 degrees
Fractional positions:
Ag 0.000 0.000 0.000
Ag 0.250 0.250 0.250
Rh 0.750 0.750 0.750
Au 0.500 0.500 0.500

---

No. 21
First-principles (PBE) data for Rb3AlN after structural relaxation, as listed in Alexandria via LeMat-Bulk.

Calculated values
E_tot: -10.75 eV per formula unit
Fermi-level density of states: 4.143 states/eV per atom
Total magnetization: 0.00 μB per formula unit
Excess energy over the best structure of this formula in the dataset: 0 meV/atom

Cell lengths 5.871, 5.871, 5.871 Å; angles 90.00, 90.00, 90.00 degrees
Fractional positions:
Rb 0.000 0.000 0.500
Rb 0.000 0.500 0.000
Rb 0.500 0.000 0.000
Al 0.500 0.500 0.500
N 0.000 0.000 0.000

---

No. 22
First-principles (PBE) data for AlCdAg14 after structural relaxation, as listed in Alexandria via LeMat-Bulk.

Calculated values
E_tot: -44.35 eV per formula unit
Fermi-level density of states: 0.439 states/eV per atom
Total magnetization: 0.00 μB per formula unit

Cell lengths 9.572, 5.815, 5.815 Å; angles 62.35, 90.00, 90.00 degrees
Fractional positions:
Al 0.000 0.000 0.000
Cd 0.000 0.500 0.500
Ag 0.000 0.002 0.498
Ag 0.000 0.498 0.002
Ag 0.248 0.320 0.829
Ag 0.248 0.825 0.825
Ag 0.248 0.829 0.320
Ag 0.254 0.326 0.326
Ag 0.500 0.151 0.656
Ag 0.500 0.153 0.153
Ag 0.500 0.652 0.652
Ag 0.500 0.656 0.151
Ag 0.746 0.326 0.326
Ag 0.752 0.320 0.829
Ag 0.752 0.825 0.825
Ag 0.752 0.829 0.320

---

No. 23
First-principles (PBE) data for FeNi2W after structural relaxation, as listed in Alexandria via LeMat-Bulk.

Calculated values
E_tot: -32.75 eV per formula unit
Fermi-level density of states: 0.970 states/eV per atom
Total magnetization: 2.44 μB per formula unit
Excess energy over the best structure of this formula in the dataset: 75 meV/atom

Cell lengths 4.456, 4.456, 4.523 Å; angles 99.32, 99.32, 34.03 degrees
Fractional positions:
Fe 0.000 0.000 0.000
Ni 0.256 0.256 0.774
Ni 0.508 0.508 0.521
W 0.756 0.756 0.278

---

No. 24
First-principles (PBE) data for PtRhS after structural relaxation, as listed in Alexandria via LeMat-Bulk.

Calculated values
E_tot: -17.93 eV per formula unit
Fermi-level density of states: 0.507 states/eV per atom
Total magnetization: 0.00 μB per formula unit
Excess energy over the best structure of this formula in the dataset: 0 meV/atom

Cell lengths 5.995, 5.995, 5.285 Å; angles 106.34, 106.34, 32.34 degrees
Fractional positions:
Pt 0.000 0.000 0.000
Pt 0.575 0.575 0.425
Rh 0.193 0.193 0.814
Rh 0.256 0.256 0.353
S 0.442 0.442 0.668
S 0.802 0.802 0.071

---

No. 25
First-principles (PBE) data for Cs2BiCl3O after structural relaxation, as listed in Alexandria via LeMat-Bulk.

Calculated values
E_tot: -26.60 eV per formula unit
Fermi-level density of states: 0.013 states/eV per atom
Total magnetization: 0.00 μB per formula unit

Cell lengths 9.778, 9.778, 9.778 Å; angles 153.38, 146.08, 43.63 degrees
Fractional positions:
Cs 0.146 0.146 0.000
Cs 0.854 0.854 0.000
Bi 0.500 0.500 0.000
Cl 0.000 0.500 0.500
Cl 0.341 0.341 0.000
Cl 0.659 0.659 0.000
O 0.500 0.000 0.500